DFT (PBE) results for a relaxed structure of Y2SbAsPt.

Properties
* Fermi-level density of states: 3.06 states/eV/f.u.
* E_form (uncorrected): -0.37 eV/atom

a b c (Å): 5.513 5.513 4.865
angles (deg): 90.00 90.00 90.00
Fractional coordinates of all 5 atoms:
Y  0.000  0.500  0.000
Y  0.500  0.000  0.000
Sb  0.000  0.000  0.500
As  0.500  0.500  0.500
Pt  0.000  0.000  0.000